Entry 1:
## Zr2H3 (PBE)

Data for crystalline Zr2H3 at its relaxed geometry.

Computed properties:
**Final energy**: -5.935 eV/atom
**Energy relative to the lowest polymorph listed for this composition**: 10 meV/atom

```
data_Zr2H3
_chemical_formula_sum 'Zr16 H24'
_cell_length_a 6.640
_cell_length_b 6.648
_cell_length_c 9.744
_cell_angle_alpha 90.00
_cell_angle_beta 90.00
_cell_angle_gamma 90.00
_space_group_name_H-M_alt 'F m m m'
_space_group_IT_number 69
_space_group_name_Hall '-F 2 2'
loop_
_atom_site_label
_atom_site_type_symbol
_atom_site_fract_x
_atom_site_fract_y
_atom_site_fract_z
Zr1 Zr 0.000 0.250 0.250
Zr2 Zr 0.239 0.000 0.000
H1 H 0.000 0.000 0.375
H2 H 0.250 0.250 0.125
```

Entry 2:
## AcIn2Ir (PBE)

Data for crystalline AcIn2Ir at its relaxed geometry.

Computed properties:
**Final energy**: -5.131 eV/atom

```
data_AcIn2Ir
_chemical_formula_sum 'Ac4 In8 Ir4'
_cell_length_a 4.460
_cell_length_b 10.794
_cell_length_c 8.325
_cell_angle_alpha 90.00
_cell_angle_beta 90.00
_cell_angle_gamma 90.00
_space_group_name_H-M_alt 'C m c m'
_space_group_IT_number 63
_space_group_name_Hall '-C 2c 2'
loop_
_atom_site_label
_atom_site_type_symbol
_atom_site_fract_x
_atom_site_fract_y
_atom_site_fract_z
Ac1 Ac 0.000 0.063 0.250
In1 In 0.000 0.347 0.053
Ir1 Ir 0.000 0.220 0.750
```

Entry 3:
## Nb2ReSi (PBE)

Data for crystalline Nb2ReSi at its relaxed geometry.

Computed properties:
**Final energy**: -9.606 eV/atom

```
data_Nb2ReSi
_chemical_formula_sum 'Nb8 Re4 Si4'
_cell_length_a 6.321
_cell_length_b 6.321
_cell_length_c 6.321
_cell_angle_alpha 90.00
_cell_angle_beta 90.00
_cell_angle_gamma 90.00
_space_group_name_H-M_alt 'F -4 3 m'
_space_group_IT_number 216
_space_group_name_Hall 'F -4 2 3'
loop_
_atom_site_label
_atom_site_type_symbol
_atom_site_fract_x
_atom_site_fract_y
_atom_site_fract_z
Nb1 Nb 0.000 0.000 0.000
Nb2 Nb 0.250 0.250 0.250
Re1 Re 0.250 0.250 0.750
Si1 Si 0.000 0.000 0.500
```

Entry 4:
## SbAsAu (PBE)

Data for crystalline SbAsAu at its relaxed geometry.

Computed properties:
**Final energy**: -3.731 eV/atom

```
data_SbAsAu
_chemical_formula_sum 'Sb4 As4 Au4'
_cell_length_a 6.705
_cell_length_b 6.705
_cell_length_c 6.705
_cell_angle_alpha 90.00
_cell_angle_beta 90.00
_cell_angle_gamma 90.00
_space_group_name_H-M_alt 'F -4 3 m'
_space_group_IT_number 216
_space_group_name_Hall 'F -4 2 3'
loop_
_atom_site_label
_atom_site_type_symbol
_atom_site_fract_x
_atom_site_fract_y
_atom_site_fract_z
Sb1 Sb 0.000 0.000 0.000
As1 As 0.250 0.250 0.750
Au1 Au 0.250 0.250 0.250
```

Entry 5:
## Ag2C (PBE)

Data for crystalline Ag2C at its relaxed geometry.

Computed properties:
**Final energy**: -3.478 eV/atom
**Energy relative to the lowest polymorph listed for this composition**: 0 meV/atom

```
data_Ag2C
_chemical_formula_sum 'Ag2 C1'
_cell_length_a 3.2345
_cell_length_b 3.2345
_cell_length_c 4.9133
_cell_angle_alpha 90.00
_cell_angle_beta 90.00
_cell_angle_gamma 120.00
_space_group_name_H-M_alt 'P -3 m 1'
_space_group_IT_number 164
_space_group_name_Hall '-P 3 2"'
loop_
_atom_site_label
_atom_site_type_symbol
_atom_site_fract_x
_atom_site_fract_y
_atom_site_fract_z
Ag1 Ag 0.3333 0.6667 0.2717
C1 C 0.0000 0.0000 0.0000
```

Entry 6:
## Cd2SnTe2F2 (PBE)

Data for crystalline Cd2SnTe2F2 at its relaxed geometry.

Computed properties:
**Final energy**: -3.200 eV/atom

```
data_Cd2SnTe2F2
_chemical_formula_sum 'Cd2 Sn1 Te2 F2'
_cell_length_a 4.019
_cell_length_b 4.019
_cell_length_c 9.948
_cell_angle_alpha 90.00
_cell_angle_beta 90.00
_cell_angle_gamma 90.00
_space_group_name_H-M_alt 'P -4 m 2'
_space_group_IT_number 115
loop_
_space_group_symop_operation_xyz
'x,y,z'
'y,-x,-z'
'-x,-y,z'
'-y,x,-z'
'-x,y,z'
'-y,-x,-z'
'x,-y,z'
'y,x,-z'
loop_
_atom_site_label
_atom_site_type_symbol
_atom_site_fract_x
_atom_site_fract_y
_atom_site_fract_z
Cd1 Cd 0.000 0.500 0.135
Sn1 Sn 0.500 0.500 0.500
Te1 Te 0.000 0.500 0.718
F1 F 0.000 0.000 0.000
F2 F 0.500 0.500 0.000
```